Entry 1:
VASP calculation (PBEsol) on a relaxed TlCrAu2 crystal.

Values from the calculation:
space group = No. 119
total energy = -4.94 eV per atom
energy of formation = 0.24 eV per atom

a = 4.145 Å, b = 4.145 Å, c = 5.100 Å
α = 113.98°, β = 113.98°, γ = 90.00°
Fractional positions:
Au  0.000  0.000  0.000
Au  0.750  0.250  0.500
Cr  0.500  0.500  0.000
Tl  0.250  0.750  0.500

***

Entry 2:
VASP calculation (PBEsol) on a relaxed TlCrAu2 crystal.

Values from the calculation:
space group = No. 123
total energy = -4.97 eV per atom
energy of formation = 0.21 eV per atom

a = 3.268 Å, b = 3.268 Å, c = 6.947 Å
α = 90.00°, β = 90.00°, γ = 90.00°
Fractional positions:
Au  0.000  0.000  0.789
Au  0.000  0.000  0.211
Cr  0.500  0.500  0.000
Tl  0.500  0.500  0.500

***

Entry 3:
VASP calculation (PBEsol) on a relaxed Cr2WAu crystal.

Values from the calculation:
space group = No. 166
total energy = -9.04 eV per atom
ΔE to the lowest computed polymorph = 0.195 eV per atom
energy of formation = 0.52 eV per atom

a = 2.865 Å, b = 2.865 Å, c = 8.390 Å
α = 80.17°, β = 80.17°, γ = 60.00°
Fractional positions:
Au  0.000  0.000  0.000
Cr  0.244  0.244  0.269
Cr  0.756  0.756  0.731
W  0.500  0.500  0.500

***

Entry 4:
VASP calculation (PBEsol) on a relaxed CrW2Au crystal.

Values from the calculation:
space group = No. 35
total energy = -10.16 eV per atom
ΔE to the lowest computed polymorph = 0.000 eV per atom
energy of formation = 0.28 eV per atom

a = 2.685 Å, b = 2.685 Å, c = 8.748 Å
α = 90.00°, β = 90.00°, γ = 107.83°
Fractional positions:
Au  0.000  0.000  0.489
Cr  0.500  0.500  0.240
W  0.000  0.000  0.012
W  0.500  0.500  0.758